No. 1
Below is a geometry-optimized TaAsAu structure, with properties calculated at the PBE-GGA level.

Calculated values
N(E_F) = 2.00 states/eV/cell
total energy = -6.5972 eV per atom
energy of formation from the pure elements = -0.004 eV per atom
total magnetic moment = 0.00 μB/f.u.

Lattice parameters (Å, degrees): 5.5002 5.5002 3.2913 107.27 107.27 34.82
Fractional coordinates of all 3 atoms:
Ta (0.0000, 0.0000, 0.0000)
As (0.6250, 0.6250, 0.6237)
Au (0.3151, 0.3151, 0.3140)

No. 2
Below is a geometry-optimized TaAs2Au structure, with properties calculated at the PBE-GGA level.

Calculated values
N(E_F) = 2.11 states/eV/cell
total energy = -5.7268 eV per atom
energy of formation from the pure elements = 0.380 eV per atom
total magnetic moment = 0.00 μB/f.u.

Lattice parameters (Å, degrees): 4.6934 4.6934 4.6934 60.00 60.00 60.00
Fractional coordinates of all 4 atoms:
Ta (0.0000, 0.0000, 0.0000)
As (0.5000, 0.5000, 0.5000)
As (0.7500, 0.7500, 0.7500)
Au (0.2500, 0.2500, 0.2500)

No. 3
Below is a geometry-optimized TaAsAu2 structure, with properties calculated at the PBE-GGA level.

Calculated values
N(E_F) = 4.03 states/eV/cell
total energy = -5.5941 eV per atom
energy of formation from the pure elements = 0.170 eV per atom
total magnetic moment = 0.00 μB/f.u.

Lattice parameters (Å, degrees): 5.5290 5.5290 5.5290 139.04 139.04 59.32
Fractional coordinates of all 4 atoms:
Ta (0.0000, 0.0000, 0.0000)
As (0.5000, 0.5000, 0.0000)
Au (0.2500, 0.7500, 0.5000)
Au (0.7500, 0.2500, 0.5000)

No. 4
Below is a geometry-optimized TaAs2Au structure, with properties calculated at the PBE-GGA level.

Calculated values
N(E_F) = 4.35 states/eV/cell
total energy = -5.8356 eV per atom
energy of formation from the pure elements = 0.272 eV per atom
total magnetic moment = 0.00 μB/f.u.

Lattice parameters (Å, degrees): 4.6577 4.6577 4.6577 60.00 60.00 60.00
Fractional coordinates of all 4 atoms:
Ta (0.0000, 0.0000, 0.0000)
As (0.2500, 0.2500, 0.2500)
As (0.7500, 0.7500, 0.7500)
Au (0.5000, 0.5000, 0.5000)

No. 5
Below is a geometry-optimized TaAsAu2 structure, with properties calculated at the PBE-GGA level.

Calculated values
N(E_F) = 1.83 states/eV/cell
total energy = -5.6150 eV per atom
energy of formation from the pure elements = 0.149 eV per atom
total magnetic moment = 0.00 μB/f.u.

Lattice parameters (Å, degrees): 2.9268 4.3133 5.7212 90.00 90.00 90.00
Fractional coordinates of all 4 atoms:
Ta (0.0000, 0.0000, 0.0000)
As (0.0000, 0.0000, 0.5000)
Au (0.5000, 0.5000, 0.2431)
Au (0.5000, 0.5000, 0.7569)

No. 6
Below is a geometry-optimized TaAsAu structure, with properties calculated at the PBE-GGA level.

Calculated values
N(E_F) = 2.42 states/eV/cell
total energy = -6.4108 eV per atom
energy of formation from the pure elements = 0.182 eV per atom
total magnetic moment = 0.00 μB/f.u.

Lattice parameters (Å, degrees): 4.4561 4.4561 4.4561 60.00 60.00 60.00
Fractional coordinates of all 3 atoms:
Ta (0.0000, 0.0000, 0.0000)
As (0.7500, 0.7500, 0.7500)
Au (0.2500, 0.2500, 0.2500)

No. 7
Below is a geometry-optimized TaAsAu2 structure, with properties calculated at the PBE-GGA level.

Calculated values
N(E_F) = 2.03 states/eV/cell
total energy = -5.7855 eV per atom
energy of formation from the pure elements = -0.021 eV per atom
total magnetic moment = 0.00 μB/f.u.

Lattice parameters (Å, degrees): 3.3783 3.3783 6.3486 90.00 90.00 90.00
Fractional coordinates of all 4 atoms:
Ta (0.0000, 0.0000, 0.0000)
As (0.5000, 0.5000, 0.1843)
Au (0.0000, 0.0000, 0.4838)
Au (0.5000, 0.5000, 0.7303)

No. 8
Below is a geometry-optimized TaAsAu2 structure, with properties calculated at the PBE-GGA level.

Calculated values
N(E_F) = 1.82 states/eV/cell
total energy = -5.6545 eV per atom
energy of formation from the pure elements = 0.110 eV per atom
total magnetic moment = 0.00 μB/f.u.

Lattice parameters (Å, degrees): 5.2844 5.2844 2.9638 90.00 90.00 118.96
Fractional coordinates of all 4 atoms:
Ta (0.0000, 0.0000, 0.0000)
As (0.5000, 0.5000, 0.0000)
Au (0.0000, 0.5000, 0.5000)
Au (0.5000, 0.0000, 0.5000)

No. 9
Below is a geometry-optimized TaAsAu3 structure, with properties calculated at the PBE-GGA level.

Calculated values
N(E_F) = 5.34 states/eV/cell
total energy = -4.0671 eV per atom
energy of formation from the pure elements = 1.200 eV per atom
total magnetic moment = 0.00 μB/f.u.
ΔE to the lowest computed polymorph = 126.0 meV per atom

Lattice parameters (Å, degrees): 5.0951 5.0951 5.0951 90.00 90.00 90.00
Fractional coordinates of all 5 atoms:
Ta (0.0000, 0.0000, 0.0000)
As (0.5000, 0.5000, 0.5000)
Au (0.0000, 0.0000, 0.5000)
Au (0.0000, 0.5000, 0.0000)
Au (0.5000, 0.0000, 0.0000)

No. 10
Below is a geometry-optimized TaAsAu2 structure, with properties calculated at the PBE-GGA level.

Calculated values
N(E_F) = 1.31 states/eV/cell
total energy = -5.6695 eV per atom
energy of formation from the pure elements = 0.095 eV per atom
total magnetic moment = 0.00 μB/f.u.

Lattice parameters (Å, degrees): 5.8709 5.8709 4.8097 114.11 114.11 28.58
Fractional coordinates of all 4 atoms:
Ta (0.0000, 0.0000, 0.0000)
As (0.5000, 0.5000, 0.5000)
Au (0.2539, 0.2539, 0.7539)
Au (0.7461, 0.7461, 0.2461)

No. 11
Below is a geometry-optimized TaAs2Au structure, with properties calculated at the PBE-GGA level.

Calculated values
N(E_F) = 1.62 states/eV/cell
total energy = -6.0844 eV per atom
energy of formation from the pure elements = 0.023 eV per atom
total magnetic moment = 0.00 μB/f.u.

Lattice parameters (Å, degrees): 8.4681 8.4681 8.4681 22.26 22.26 22.26
Fractional coordinates of all 4 atoms:
Ta (0.0000, 0.0000, 0.0000)
As (0.2590, 0.2590, 0.2590)
As (0.7410, 0.7410, 0.7410)
Au (0.5000, 0.5000, 0.5000)

No. 12
Below is a geometry-optimized TaAsAu2 structure, with properties calculated at the PBE-GGA level.

Calculated values
N(E_F) = 3.24 states/eV/cell
total energy = -5.6284 eV per atom
energy of formation from the pure elements = 0.136 eV per atom
total magnetic moment = 0.00 μB/f.u.

Lattice parameters (Å, degrees): 9.4917 9.4917 9.4917 18.26 18.26 18.26
Fractional coordinates of all 4 atoms:
Ta (0.0000, 0.0000, 0.0000)
As (0.5000, 0.5000, 0.5000)
Au (0.2510, 0.2510, 0.2510)
Au (0.7490, 0.7490, 0.7490)

No. 13
Below is a geometry-optimized TaAs2Au structure, with properties calculated at the PBE-GGA level.

Calculated values
N(E_F) = 1.40 states/eV/cell
total energy = -6.1778 eV per atom
energy of formation from the pure elements = -0.071 eV per atom
total magnetic moment = 0.00 μB/f.u.

Lattice parameters (Å, degrees): 3.6160 3.6160 5.6196 90.00 90.00 90.00
Fractional coordinates of all 4 atoms:
Ta (0.0000, 0.0000, 0.0000)
As (0.0000, 0.0000, 0.5360)
As (0.5000, 0.5000, 0.1618)
Au (0.5000, 0.5000, 0.6880)

No. 14
Below is a geometry-optimized TaAsAu2 structure, with properties calculated at the PBE-GGA level.

Calculated values
N(E_F) = 1.36 states/eV/cell
total energy = -5.6645 eV per atom
energy of formation from the pure elements = 0.100 eV per atom
total magnetic moment = 0.00 μB/f.u.

Lattice parameters (Å, degrees): 6.6889 6.6889 6.6889 155.62 138.28 48.91
Fractional coordinates of all 4 atoms:
Ta (0.0000, 0.0000, 0.0000)
As (0.1933, 0.6933, 0.5000)
Au (0.5588, 0.5588, 0.0000)
Au (0.8048, 0.3048, 0.5000)

No. 15
Below is a geometry-optimized TaAsAu structure, with properties calculated at the PBE-GGA level.

Calculated values
N(E_F) = 2.14 states/eV/cell
total energy = -6.5434 eV per atom
energy of formation from the pure elements = 0.050 eV per atom
total magnetic moment = 0.00 μB/f.u.

Lattice parameters (Å, degrees): 3.0228 3.0228 6.9825 90.00 90.00 120.00
Fractional coordinates of all 3 atoms:
Ta (0.0000, 0.0000, 0.0000)
As (0.6667, 0.3333, 0.3055)
Au (0.3333, 0.6667, 0.6743)